Density functional theory data (PBE-GGA) for a relaxed structure of ScReAs2.

Computed properties:
Theoretical density (Mg/m³): 9.1
Formation energy from the elements (eV/atom): -0.311
Raw total energy (eV/atom): -7.33
D(E_F) (states/eV/cell): 1.1
Distance to the lowest polymorph of the same formula (eV per atom): 0.147

CIF file:
```
data_ScReAs2
_space_group_name_H-M_alt 'P 4 m m'
_space_group_IT_number 99
_cell_length_a 3.368
_cell_length_b 3.368
_cell_length_c 6.109
_cell_angle_alpha 90.00
_cell_angle_beta 90.00
_cell_angle_gamma 90.00
loop_
_space_group_symop_operation_xyz
'x,y,z'
'-y,x,z'
'-x,-y,z'
'y,-x,z'
'-x,y,z'
'y,x,z'
'x,-y,z'
'-y,-x,z'
loop_
_atom_site_label
_atom_site_type_symbol
_atom_site_fract_x
_atom_site_fract_y
_atom_site_fract_z
_atom_site_occupancy
Sc1 Sc 0.000 0.000 0.000 1
Re1 Re 0.500 0.500 0.712 1
As1 As 0.000 0.000 0.528 1
As2 As 0.500 0.500 0.187 1
```